Entry 1:
DFT (PBEsol) results for an optimized crystal structure of FeCoOs.

* crystal system: cubic
* energy relative to the lowest polymorph listed for this composition: 563.9 meV per atom
* SG: No. 216
* formation enthalpy at 0 K: 0.763 eV/atom

a = 3.870 Å, b = 3.870 Å, c = 3.870 Å
α = 60.00°, β = 60.00°, γ = 60.00°
Site moments in Bohr magnetons follow the coordinates.
Positions (direct):
Co  0.000  0.000  0.000  0.68
Fe  0.500  0.500  0.500  0.19
Os  0.250  0.250  0.250  0.15

---

Entry 2:
DFT (PBEsol) results for an optimized crystal structure of KCuP.

* crystal system: hexagonal
* SG: No. 187
* formation enthalpy at 0 K: -0.215 eV/atom

a = 3.855 Å, b = 3.855 Å, c = 5.145 Å
α = 90.00°, β = 90.00°, γ = 120.00°
Positions (direct):
P  0.667  0.333  0.500
K  0.333  0.667  0.000
Cu  0.000  0.000  0.500

---

Entry 3:
DFT (PBEsol) results for an optimized crystal structure of HgHRu2.

* crystal system: cubic
* total DFT energy (no corrections): -19.252 eV/f.u.
* SG: No. 225

a = 4.246 Å, b = 4.246 Å, c = 4.246 Å
α = 60.00°, β = 60.00°, γ = 60.00°
Positions (direct):
Ru  0.250  0.250  0.250
Ru  0.750  0.750  0.750
Hg  0.500  0.500  0.500
H  0.000  0.000  0.000

---

Taking the records one at a time from the top gives magnetic moment values of 1.01; 0.00; 0.02 μB per formula unit.
Taking the records one at a time from the top gives ρ values of 12.36; 3.35; 12.39 g cm⁻³.